# TmUCrO6 (GGA+U, optimized geometry)
# Final energy in eV per atom: -8.8361
data_TmUCrO6
_space_group_name_H-M_alt 'P -3 1 c'
_space_group_IT_number 163
_space_group_name_Hall '-P 3 2c'
_cell_length_a 5.3542
_cell_length_b 5.3542
_cell_length_c 9.6126
_cell_angle_alpha 90.00
_cell_angle_beta 90.00
_cell_angle_gamma 120.00
loop_
_atom_site_label
_atom_site_fract_x
_atom_site_fract_y
_atom_site_fract_z
_atom_site_occupancy
Tm1 0.0000 0.0000 0.0000 1
U1 0.3333 0.6667 0.2500 1
Cr1 0.3333 0.6667 0.7500 1
O1 0.0092 0.3517 0.6364 1